[1]
! PBEsol Ti7O13, optimized geometry; values from VASP
! D(E_F) = 0.462 states/eV per atom
! Space-group type = P-1, No. 2
! Mass density = 4.32 Mg/m³
! Total moment = 1.5 μB/cell
! Raw formation energy = -3.0302 eV/atom
&SYSTEM
  ibrav = 0, nat = 40, ntyp = 2
/
ATOMIC_SPECIES
O 16.00 O.upf
Ti 47.87 Ti.upf
ATOMIC_POSITIONS crystal
O 0.500 0.995 0.796
O 0.424 0.686 0.684
O 0.114 0.232 0.948
O 0.057 0.069 0.593
O 0.362 0.833 0.014
O 0.849 0.631 0.294
O 0.716 0.472 0.099
O 0.576 0.314 0.316
O 0.943 0.931 0.407
O 0.684 0.286 0.750
O 0.316 0.714 0.250
O 0.500 0.005 0.204
O 0.242 0.404 0.140
O 0.198 0.553 0.472
O 0.886 0.768 0.052
O 0.554 0.154 0.556
O 0.872 0.764 0.623
O 0.151 0.369 0.706
O 0.128 0.236 0.377
O 0.638 0.167 0.986
O 0.802 0.447 0.528
O 0.446 0.846 0.444
O 0.033 0.923 0.833
O 0.967 0.077 0.167
O 0.758 0.596 0.860
O 0.284 0.528 0.901
Ti 0.611 0.735 0.149
Ti 0.786 0.514 0.705
Ti 0.784 0.016 0.707
Ti 0.795 0.209 0.445
Ti 0.389 0.265 0.851
Ti 0.609 0.238 0.144
Ti 0.206 0.289 0.551
Ti 0.794 0.711 0.449
Ti 0.205 0.791 0.555
Ti 0.391 0.762 0.856
Ti 0.000 0.500 0.000
Ti 0.214 0.486 0.295
Ti 0.000 0.000 0.000
Ti 0.216 0.984 0.293
CELL_PARAMETERS angstrom
-3.514 -3.292 2.706
-3.755 -3.714 -4.770
7.254 -8.588 -0.796

[2]
! PBEsol MgPb7, optimized geometry; values from VASP
! D(E_F) = 0.486 states/eV per atom
! Space-group type = Fm-3m, No. 225
! DFT formation energy = 0.00 eV per atom
! Mass density = 10.52 Mg/m³
! Total moment = 0.0 μB/cell
&SYSTEM
  ibrav = 0, nat = 8, ntyp = 2
/
ATOMIC_SPECIES
Pb 207.20 Pb.upf
Mg 24.30 Mg.upf
ATOMIC_POSITIONS crystal
Pb 0.000 0.500 0.500
Pb 0.500 0.000 0.000
Pb 0.000 0.500 0.000
Pb 0.500 0.000 0.500
Pb 0.500 0.500 0.500
Pb 0.000 0.000 0.500
Pb 0.500 0.500 0.000
Mg 0.000 0.000 0.000
CELL_PARAMETERS angstrom
6.906 0.000 0.000
3.453 5.980 0.000
3.453 1.993 5.638

[3]
! PBEsol K2MnSe2, optimized geometry; values from VASP
! Space-group type = Ibam, No. 72
! Mass density = 3.28 Mg/m³
! Total moment = 10.0 μB/cell
! Raw formation energy = -0.8567 eV/atom
&SYSTEM
  ibrav = 0, nat = 10, ntyp = 3
/
ATOMIC_SPECIES
K 39.10 K.upf
Se 78.96 Se.upf
Mn 54.94 Mn.upf
ATOMIC_POSITIONS crystal
K 0.145 0.812 0.291
K 0.855 0.188 0.709
K 0.355 0.522 0.709
K 0.645 0.478 0.291
Se 0.605 0.909 0.211
Se 0.105 0.302 0.211
Se 0.895 0.698 0.789
Se 0.395 0.091 0.789
Mn 0.750 0.000 0.000
Mn 0.250 0.000 0.000
CELL_PARAMETERS angstrom
-5.100 -3.062 2.427
-0.652 -3.632 -5.952
6.812 -1.301 4.168